VASP calculation (PBE) on a relaxed SrMnRh crystal.

Lattice parameters (Å, degrees): 5.842 4.489 11.289 90.00 90.00 90.00
Element x y z (fractional)
Mn1 0.614 0.250 0.643
Mn2 0.886 0.750 0.143
Mn3 0.386 0.750 0.357
Mn4 0.114 0.250 0.857
Rh1 0.875 0.250 0.046
Rh2 0.625 0.750 0.546
Rh3 0.125 0.750 0.954
Rh4 0.375 0.250 0.454
Sr1 0.874 0.250 0.370
Sr2 0.126 0.750 0.630
Sr3 0.626 0.750 0.870
Sr4 0.374 0.250 0.130

Properties
**Symmetry**: Pnma
**DFT formation energy**: 0.195 eV/f.u.
**Magnetization**: 4.3 μB/f.u.